No. 1
A plane-wave DFT calculation with GGA-PBE was carried out for an optimized crystal structure of SrPdAu2Se.

Summary:
As for the density of states at the Fermi level: 1.25 states/eV/atom. Its energy is -2.576 eV per atom. Its magnetic moment is 1.04 μB per cell. The raw formation energy comes out at 0.8067 eV per atom.

Cell: 5.686 5.686 5.710 Å, 90.00 90.00 90.00°
Space group P4/mmm (No. 123)
Inequivalent atoms, fractional coordinates:
Sr 0.000 0.000 0.000 [1 per cell]
Pd 0.500 0.500 0.500 [1 per cell]
Au 0.000 0.500 0.000 [2 per cell]
Se 0.000 0.000 0.500 [1 per cell]



No. 2
A plane-wave DFT calculation with GGA-PBE was carried out for an optimized crystal structure of Tb7SmDy12.

Summary:
As for the density of states at the Fermi level: 0.87 states/eV/atom. Its energy is -4.325 eV per atom. As for the formation enthalpy at 0 K: 0.293 eV per atom. Its magnetic moment is 0.00 μB per cell.

Cell: 12.8103 12.8103 13.6481 Å, 90.00 90.00 120.00°
Space group R-3 (No. 148, hexagonal axes)
Inequivalent atoms, fractional coordinates:
Tb 0.0000 0.0000 0.0000 [3 per cell]
Tb 0.0682 0.2010 0.3485 [18 per cell]
Sm 0.0000 0.0000 0.5000 [3 per cell]
Dy 0.0018 0.5658 0.7488 [18 per cell]
Dy 0.0681 0.8682 0.8468 [18 per cell]



No. 3
A plane-wave DFT calculation with GGA-PBE was carried out for an optimized crystal structure of Li2TcOs.

Summary:
As for the density of states at the Fermi level: 0.67 states/eV/atom. Its energy is -6.246 eV per atom. As for the formation enthalpy at 0 K: 0.110 eV per atom. Its magnetic moment is 0.00 μB per cell.

Cell: 4.190 4.190 5.957 Å, 90.00 90.00 90.00°
Space group I-4m2 (No. 119)
Inequivalent atoms, fractional coordinates:
Li 0.000 0.000 0.000 [2 per cell]
Li 0.000 0.500 0.250 [2 per cell]
Tc 0.000 0.000 0.500 [2 per cell]
Os 0.000 0.500 0.750 [2 per cell]



No. 4
A plane-wave DFT calculation with GGA-PBE was carried out for an optimized crystal structure of TbSc3In4.

Summary:
As for the density of states at the Fermi level: 0.71 states/eV/atom. Its energy is -4.748 eV per atom. As for the formation enthalpy at 0 K: -0.425 eV per atom. Its magnetic moment is 0.00 μB per cell.

Cell: 10.360 6.787 5.366 Å, 90.00 90.00 90.00°
Space group Pmma (No. 51)
Inequivalent atoms, fractional coordinates:
Tb 0.000 0.000 0.000 [2 per cell]
Sc 0.000 0.500 0.000 [2 per cell]
Sc 0.250 0.000 0.404 [2 per cell]
Sc 0.250 0.500 0.383 [2 per cell]
In 0.000 0.261 0.500 [4 per cell]
In 0.250 0.261 0.886 [4 per cell]



No. 5
A plane-wave DFT calculation with GGA-PBE was carried out for an optimized crystal structure of BeHgAs.

Summary:
As for the density of states at the Fermi level: 0.43 states/eV/atom. Its energy is -2.482 eV per atom. As for the formation enthalpy at 0 K: 0.411 eV per atom. Its magnetic moment is 0.00 μB per cell.

Cell: 2.935 2.935 13.145 Å, 90.00 90.00 90.00°
Space group I4mm (No. 107)
Inequivalent atoms, fractional coordinates:
Be 0.000 0.000 0.000 [2 per cell]
Hg 0.000 0.000 0.654 [2 per cell]
As 0.000 0.000 0.394 [2 per cell]



No. 6
A plane-wave DFT calculation with GGA-PBE was carried out for an optimized crystal structure of CaInH.

Summary:
As for the density of states at the Fermi level: 0.31 states/eV/atom. Its energy is -3.168 eV per atom. Its magnetic moment is 0.00 μB per cell.

Cell: 3.763 3.763 8.552 Å, 90.00 90.00 90.00°
Space group P4/nmm (No. 129, origin choice 2)
Inequivalent atoms, fractional coordinates:
Ca 0.250 0.250 0.146 [2 per cell]
In 0.250 0.250 0.605 [2 per cell]
H 0.250 0.750 0.000 [2 per cell]



No. 7
A plane-wave DFT calculation with GGA-PBE was carried out for an optimized crystal structure of TlCrFe2.

Summary:
As for the density of states at the Fermi level: 1.55 states/eV/atom. Its energy is -6.408 eV per atom. As for the formation enthalpy at 0 K: 0.821 eV per atom. Its magnetic moment is 9.16 μB per cell.

Cell: 6.858 6.858 5.334 Å, 90.00 90.00 90.00°
Space group I-42d (No. 122)
Inequivalent atoms, fractional coordinates:
Tl 0.000 0.000 0.000 [4 per cell]
Cr 0.000 0.000 0.500 [4 per cell]
Fe 0.191 0.250 0.625 [8 per cell]



No. 8
A plane-wave DFT calculation with GGA-PBE was carried out for an optimized crystal structure of TmSc5Sn3.

Summary:
As for the density of states at the Fermi level: 1.44 states/eV/atom. Its energy is -5.544 eV per atom. As for the formation enthalpy at 0 K: -0.195 eV per atom. Its magnetic moment is 1.37 μB per cell.

Cell: 7.171 7.171 17.662 Å, 90.00 90.00 90.00°
Space group I4/mcm (No. 140)
Inequivalent atoms, fractional coordinates:
Tm 0.000 0.500 0.250 [4 per cell]
Sc 0.000 0.000 0.000 [4 per cell]
Sc 0.195 0.305 0.126 [16 per cell]
Sn 0.000 0.000 0.250 [4 per cell]
Sn 0.133 0.367 0.500 [8 per cell]



No. 9
A plane-wave DFT calculation with GGA-PBE was carried out for an optimized crystal structure of Dy5HoSc3.

Summary:
As for the density of states at the Fermi level: 1.44 states/eV/atom. Its energy is -4.698 eV per atom. As for the formation enthalpy at 0 K: 0.478 eV per atom. Its magnetic moment is 0.00 μB per cell.

Cell: 14.542 11.138 9.518 Å, 90.00 129.57 90.00°
Space group C2/m (No. 12)
Inequivalent atoms, fractional coordinates:
Dy 0.000 0.244 0.000 [4 per cell]
Dy 0.139 0.247 0.740 [8 per cell]
Dy 0.218 0.500 0.033 [4 per cell]
Dy 0.222 0.000 0.235 [4 per cell]
Ho 0.246 0.000 0.596 [4 per cell]
Sc 0.000 0.000 0.500 [2 per cell]
Sc 0.000 0.500 0.000 [2 per cell]
Sc 0.012 0.000 0.820 [4 per cell]
Sc 0.020 0.500 0.364 [4 per cell]



No. 10
A plane-wave DFT calculation with GGA-PBE was carried out for an optimized crystal structure of YCdAu.

Summary:
As for the density of states at the Fermi level: 0.76 states/eV/atom. Its energy is -4.120 eV per atom. As for the formation enthalpy at 0 K: -0.568 eV per atom. Its magnetic moment is 0.00 μB per cell.

Cell: 4.8061 4.8061 3.4562 Å, 90.00 90.00 120.00°
Space group P-6m2 (No. 187)
Inequivalent atoms, fractional coordinates:
Y 0.0000 0.0000 0.0000 [1 per cell]
Cd 0.6667 0.3333 0.5000 [1 per cell]
Au 0.3333 0.6667 0.5000 [1 per cell]



No. 11
A plane-wave DFT calculation with GGA-PBE was carried out for an optimized crystal structure of PrDy2ErTl4.

Summary:
As for the density of states at the Fermi level: 0.84 states/eV/atom. Its energy is -3.842 eV per atom. As for the formation enthalpy at 0 K: -0.341 eV per atom. Its magnetic moment is 0.00 μB per cell.

Cell: 5.4056 5.4056 26.6030 Å, 90.00 90.00 120.00°
Space group R-3m (No. 166, hexagonal axes)
Inequivalent atoms, fractional coordinates:
Pr 0.0000 0.0000 0.0000 [3 per cell]
Dy 0.0000 0.0000 0.2492 [6 per cell]
Er 0.0000 0.0000 0.5000 [3 per cell]
Tl 0.0000 0.0000 0.1270 [6 per cell]
Tl 0.0000 0.0000 0.3772 [6 per cell]



No. 12
A plane-wave DFT calculation with GGA-PBE was carried out for an optimized crystal structure of InFeIN2.

Summary:
As for the density of states at the Fermi level: 0.91 states/eV/atom. Its energy is -4.676 eV per atom. Its magnetic moment is 0.83 μB per cell. The raw formation energy comes out at 1.2042 eV per atom.

Cell: 3.882 3.882 5.390 Å, 90.00 90.00 90.00°
Space group P4/mmm (No. 123)
Inequivalent atoms, fractional coordinates:
In 0.000 0.000 0.000 [1 per cell]
Fe 0.500 0.500 0.500 [1 per cell]
I 0.500 0.500 0.000 [1 per cell]
N 0.000 0.500 0.500 [2 per cell]